The following is a DFT calculation (GGA-PBE) of an optimized crystal structure of Nd2Ni5Pt5.

```
Nd2Ni5Pt5
1.0
-3.551 2.079 -0.977
-1.575 -4.007 -2.799
-4.121 -3.557 7.410
Ni Pt Nd
5 5 2
Cartesian
-6.018 -4.603 2.926 Ni
-5.236 -2.614 4.315 Ni
-4.011 -2.871 -0.682 Ni
-4.624 -2.743 1.817 Ni
-3.229 -0.882 0.708 Ni
-0.742 -0.640 1.334 Pt
-3.532 -4.372 3.534 Pt
-2.165 -3.192 1.076 Pt
-3.379 -2.916 6.076 Pt
-1.775 1.039 -0.489 Pt
-2.061 -1.778 3.705 Nd
-0.788 -2.003 -1.400 Nd
```

Calculated values
calculated volume = 16.64 A^3/atom
formation energy from the elements = -0.547 eV per atom
mass density = 12.95 g/cm³
magnetic moment = 1.86 μB/f.u.